Compound: LaGe2RhS
Source: Alexandria via LeMat-Bulk
Functional: PBE
Structure: relaxed

abc: 4.6686 4.6686 16.2596
angles: 90.00 90.00 120.00
With the nearest neighbours (Å) after each atom.
Space group R3m (No. 160, hexagonal axes)
Unique sites:
La  0.0000  0.0000  0.0000 x3  3 S 2.70
Ge  0.0000  0.0000  0.5095 x3  3 Rh 2.71, 1 S 2.71, 3 Ge 2.79
Ge  0.0000  0.0000  0.7997 x3  3 Ge 2.79, 3 Rh 2.85
Rh  0.0000  0.0000  0.1903 x3  1 S 2.48, 3 Ge 2.71
S  0.0000  0.0000  0.3428 x3  1 Rh 2.48, 3 La 2.70, 1 Ge 2.71

For the density of states at the Fermi level, the calculation gives 0.291 states/eV/atom. For the offset from the most stable computed form, the calculation gives 0.306 eV per formula unit. Its total energy is -0.4359 Ry per atom. Its uncorrected formation energy is -0.802 eV/atom.

---

Compound: Ca2La3Zn3
Source: Alexandria via LeMat-Bulk
Functional: PBE
Structure: relaxed

abc: 3.7515 5.4578 23.4407
angles: 90.00 90.00 90.00
With the nearest neighbours (Å) after each atom.
Space group Immm (No. 71)
Unique sites:
Ca  0.0000  0.0000  0.2185 x4  2 Zn 3.16
La  0.0000  0.0000  0.0000 x2  8 Zn 3.19-3.31
La  0.0000  0.5000  0.1114 x4  6 Zn 3.22-3.31
Zn  0.0000  0.0000  0.5000 x2  8 La 3.22-3.31
Zn  0.0000  0.5000  0.3900 x4  2 Ca 3.16, 6 La 3.19-3.31

For the density of states at the Fermi level, the calculation gives 1.104 states/eV/atom. Its total energy is -0.2213 Ry per atom.

---

Compound: K3HoU2S6
Source: Alexandria via LeMat-Bulk
Functional: PBE
Structure: relaxed

abc: 7.0001 12.1252 7.7747
angles: 90.00 107.46 90.00
With the nearest neighbours (Å) after each atom.
Space group C2/m (No. 12)
Unique sites:
K  0.0000  0.0000  0.0000 x2  6 S 3.20-3.21
K  0.0000  0.3338  0.0000 x4  6 S 3.20-3.22
Ho  0.0000  0.5000  0.5000 x2  6 S 2.77
U  0.0000  0.1667  0.5000 x4  6 S 2.78
S  0.2339  0.3339  0.7034 x8  1 Ho 2.77, 2 U 2.78
S  0.2355  0.0000  0.7032 x4  1 Ho 2.77, 2 U 2.78

For the density of states at the Fermi level, the calculation gives 0.577 states/eV/atom. Its total energy is -0.4512 Ry per atom. Its uncorrected formation energy is -1.538 eV/atom.

---

Compound: BaSbPtO6
Source: Alexandria via LeMat-Bulk
Functional: PBE
Structure: relaxed

abc: 5.3639 5.3639 5.8696
angles: 90.00 90.00 120.00
With the nearest neighbours (Å) after each atom.
Space group P312 (No. 149)
Unique sites:
Ba  0.0000  0.0000  0.0000 x1  6 O 2.72
Sb  0.3333  0.6667  0.5000 x1  6 O 2.03
Pt  0.6667  0.3333  0.5000 x1  6 O 2.01
O  0.3793  0.0023  0.6913 x6  1 Pt 2.01, 1 Sb 2.03

For the density of states at the Fermi level, the calculation gives 0.710 states/eV/atom. Its total energy is -0.4477 Ry per atom. Its uncorrected formation energy is -1.443 eV/atom.

---

Compound: DyHgO
Source: Alexandria via LeMat-Bulk
Functional: PBE
Structure: relaxed

abc: 3.9093 3.9093 7.8736
angles: 90.00 90.00 90.00
With the nearest neighbours (Å) after each atom.
Space group P4/nmm (No. 129, origin choice 2)
Unique sites:
Dy  0.2500  0.2500  0.1384 x2  4 O 2.24
Hg  0.2500  0.2500  0.5963 x2  4 Hg 3.15, 4 Dy 3.47
O  0.2500  0.7500  0.0000 x2  4 Dy 2.24

For the density of states at the Fermi level, the calculation gives 0.200 states/eV/atom. For the offset from the most stable computed form, the calculation gives 0.000 eV per formula unit. Its total energy is -0.4007 Ry per atom. Its uncorrected formation energy is -2.165 eV/atom.

---

Compound: BaHg3S
Source: Alexandria via LeMat-Bulk
Functional: PBE
Structure: relaxed

abc: 5.4677 5.4677 5.4677
angles: 90.00 90.00 90.00
With the nearest neighbours (Å) after each atom.
Space group Pm-3m (No. 221)
Unique sites:
Ba  0.0000  0.0000  0.0000 x1  12 Hg 3.87
Hg  0.0000  0.5000  0.5000 x3  2 S 2.73
S  0.5000  0.5000  0.5000 x1  6 Hg 2.73

For the density of states at the Fermi level, the calculation gives 0.653 states/eV/atom. For the offset from the most stable computed form, the calculation gives 0.000 eV per formula unit. Its total energy is -0.1049 Ry per atom. Its uncorrected formation energy is -0.036 eV/atom.

---

Compound: CdMo2Au
Source: Alexandria via LeMat-Bulk
Functional: PBE
Structure: relaxed

abc: 3.8873 3.8873 9.0429
angles: 90.00 90.00 90.00
With the nearest neighbours (Å) after each atom.
Space group I4/mmm (No. 139)
Unique sites:
Cd  0.0000  0.0000  0.0000 x2  4 Au 2.75, 8 Mo 2.98
Mo  0.0000  0.5000  0.2500 x4  4 Mo 2.75, 4 Cd 2.98, 4 Au 2.98
Au  0.0000  0.0000  0.5000 x2  4 Cd 2.75, 8 Mo 2.98

For the density of states at the Fermi level, the calculation gives 0.794 states/eV/atom. Its total energy is -0.4518 Ry per atom.

---

Compound: Si2SbCl
Source: Alexandria via LeMat-Bulk
Functional: PBE
Structure: relaxed

abc: 3.2492 3.4805 8.8320
angles: 90.00 90.00 90.00
With the nearest neighbours (Å) after each atom.
Space group Pmm2 (No. 25)
Unique sites:
Si  0.0000  0.0000  0.0000 x1  1 Cl 2.08
Si  0.5000  0.5000  0.0794 x1  4 Si 2.48, 1 Sb 2.58
Sb  0.5000  0.5000  0.3720 x1  1 Si 2.58
Cl  0.0000  0.0000  0.7642 x1  1 Si 2.08

For the density of states at the Fermi level, the calculation gives 0.199 states/eV/atom. For the offset from the most stable computed form, the calculation gives 0.000 eV per formula unit. Its total energy is -0.3178 Ry per atom. Its uncorrected formation energy is -0.120 eV/atom.

---

What is the formula in the fifth record? DyHgO

---

What is the formula in the second record? Ca2La3Zn3